1.
VASP calculation (PBE) on a relaxed structure of EuMgAu.

Structure (extended XYZ):
```
3
Lattice="4.0279 0.0000 0.0000 0.0000 4.7573 0.0000 0.0000 -2.3787 4.1199" Properties=species:S:1:pos:R:3 pbc="T T T"
Eu 2.6851 2.3787 1.3733
Mg 0.6712 0.0000 2.7466
Au 0.6716 0.0000 0.0000
```

Results
For the formation energy, the calculation gives -530 meV/atom. The calculation puts the density of states at the Fermi level at 3.16 states/eV/atom. Its space group is No. 187. The value obtained for the volume is 79 Å³ per cell. The calculation puts the total magnetization at 7.3 μB/cell.



2.
VASP calculation (PBE) on a relaxed structure of FePS2.

Structure (extended XYZ):
```
4
Lattice="1.8824 0.0000 7.2376 -0.9412 1.6302 7.2376 -0.9412 -1.6302 7.2376" Properties=species:S:1:pos:R:3 pbc="T T T"
P 0.0000 0.0000 0.0000
S 0.0000 0.0000 19.3393
S 0.0000 0.0000 2.3735
Fe 0.0000 0.0000 10.8564
```

Results
The calculation puts the density of states at the Fermi level at 1.08 states/eV/atom. Its space group is No. 166. The value obtained for the volume is 67 Å³ per cell. The calculation puts the total magnetization at 1.1 μB/cell. The value obtained for the uncorrected formation energy is 0.08 eV/atom.



3.
VASP calculation (PBE) on a relaxed structure of AcCePd3.

Structure (extended XYZ):
```
10
Lattice="3.9562 0.0000 -0.5447 0.0000 4.3785 0.0000 -0.0853 0.0000 14.0193" Properties=species:S:1:pos:R:3 pbc="T T T"
Ac 3.5953 3.2839 11.4734
Ac 0.2755 1.0946 2.0012
Ce 0.7699 3.2839 5.5919
Ce 3.1009 1.0946 7.8827
Pd 2.4564 3.2839 3.2018
Pd 1.4144 1.0946 10.2728
Pd 2.0868 3.2839 0.5173
Pd 1.7840 1.0946 12.9572
Pd 2.6980 1.0946 4.9561
Pd 1.1729 3.2839 8.5184
```

Results
For the formation energy, the calculation gives -761 meV/atom. The calculation puts the density of states at the Fermi level at 1.41 states/eV/atom. Its space group is No. 63. The value obtained for the volume is 243 Å³ per cell. The calculation puts the total magnetization at 1.3 μB/cell.



4.
VASP calculation (PBE) on a relaxed structure of TbY7Er5.

Structure (extended XYZ):
```
13
Lattice="6.2436 0.0000 2.2880 2.9913 8.0183 1.5003 0.3602 -0.1243 8.6802" Properties=species:S:1:pos:R:3 pbc="T T T"
Tb 6.1263 0.3203 2.6082
Y 5.0182 3.3445 5.6319
Y 4.1186 5.8000 8.0869
Y 1.2752 2.3779 6.1831
Y 2.1894 5.2070 3.6885
Y 2.4524 1.8271 2.9708
Y 5.7274 6.4727 3.6968
Y 3.9885 1.0914 8.4419
Er 3.5208 -0.0337 5.2149
Er 0.1869 -0.0337 3.9932
Er 4.7208 3.6800 1.9404
Er 1.3869 3.6800 0.7186
Er 7.2638 5.7361 9.1670
```

Results
For the formation energy, the calculation gives 246 meV/atom. The calculation puts the density of states at the Fermi level at 2.11 states/eV/atom. Its space group is No. 44. The value obtained for the volume is 428 Å³ per cell. The calculation puts the total magnetization at 0.0 μB/cell.



5.
VASP calculation (PBE) on a relaxed structure of Y2ThNpAs4.

Structure (extended XYZ):
```
8
Lattice="-2.7929 2.6980 1.4902 0.4076 -3.1483 6.4639 4.8809 5.2811 -0.4137" Properties=species:S:1:pos:R:3 pbc="T T T"
Y 1.0440 3.9895 0.5382
Y 2.6443 1.0664 3.0251
Th -1.1926 -0.2252 3.9770
Np 0.0000 0.0000 0.0000
As -0.0709 1.9005 2.2308
As 2.5665 2.9303 5.3095
As 3.7373 3.1660 1.2725
As 1.5512 -1.0331 4.7777
```

Results
For the formation energy, the calculation gives -1301 meV/atom. The calculation puts the density of states at the Fermi level at 1.58 states/eV/atom. Its space group is No. 10. The value obtained for the volume is 203 Å³ per cell. The calculation puts the total magnetization at 4.0 μB/cell.



6.
VASP calculation (PBE) on a relaxed structure of Ir2PtO6.

Structure (extended XYZ):
```
27
Lattice="-1.2168 -3.0782 2.7678 8.4817 -1.2189 2.3732 -5.0300 5.9010 4.3515" Properties=species:S:1:pos:R:3 pbc="T T T"
Ir 2.2393 3.0375 4.3626
Ir 0.4797 -0.0632 3.5037
Ir -1.7668 2.0727 1.5284
Ir 5.1996 -2.3738 3.0090
Ir -4.0528 2.5017 4.3637
Ir 2.9792 -0.4281 0.8336
Pt -1.1270 2.0076 5.0588
Pt 0.0000 0.0000 0.0000
Pt 3.3619 -0.4038 4.4337
O 1.8752 3.5021 6.3207
O -0.0603 1.6053 6.7265
O 0.6027 1.8790 4.0079
O -0.8184 3.9214 5.6546
O -1.3002 0.0789 4.4838
O -0.5513 0.4651 1.8763
O -2.9138 2.0786 5.9984
O 6.0752 -2.7197 4.7709
O -2.2598 2.5129 3.4545
O -3.7712 4.4171 4.8560
O 5.1909 -0.4175 3.5762
O 4.2786 -0.6555 6.2250
O 3.4178 -2.3699 3.9398
O 3.4315 1.5398 4.9797
O 2.6167 1.1631 7.5687
O 2.3567 -0.0735 2.7129
O 1.4839 -0.4763 5.1956
O 0.4603 -2.0163 3.0848
```

Results
The calculation puts the density of states at the Fermi level at 0.82 states/eV/atom. Its space group is No. 150. The value obtained for the volume is 295 Å³ per cell. The calculation puts the total magnetization at 0.0 μB/cell. The value obtained for the uncorrected formation energy is -0.58 eV/atom.



7.
VASP calculation (PBE) on a relaxed structure of Y2BeSn2.

Structure (extended XYZ):
```
10
Lattice="-1.2947 6.8206 1.5283 -4.2929 -2.0026 5.3003 3.6906 0.0284 2.9999" Properties=species:S:1:pos:R:3 pbc="T T T"
Y -1.2528 -0.1666 5.3130
Y -2.5844 2.9245 6.9220
Y -0.6443 5.0129 4.5154
Y 0.6873 1.9219 2.9065
Be 0.0000 0.0000 0.0000
Be -2.7938 2.4090 3.4143
Sn -4.1401 0.7178 5.0866
Sn -3.8705 4.5558 4.7186
Sn -1.4475 4.1002 1.7420
Sn -1.7171 0.2622 2.1100
```

Results
For the formation energy, the calculation gives -386 meV/atom. The calculation puts the density of states at the Fermi level at 0.33 states/eV/atom. Its space group is No. 127. The value obtained for the volume is 240 Å³ per cell. The calculation puts the total magnetization at 0.0 μB/cell.



8.
VASP calculation (PBE) on a relaxed structure of Cd2HgBi2.

Structure (extended XYZ):
```
5
Lattice="4.2962 0.0000 0.0000 0.0000 4.2962 0.0000 2.1481 2.1481 8.0688" Properties=species:S:1:pos:R:3 pbc="T T T"
Cd 4.2962 2.1481 4.0344
Cd 2.1481 4.2962 4.0344
Bi 2.1481 2.1481 1.8120
Bi 4.2962 4.2962 6.2568
Hg 0.0000 0.0000 0.0000
```

Results
For the formation energy, the calculation gives 88 meV/atom. The calculation puts the density of states at the Fermi level at 0.47 states/eV/atom. The calculation puts the distance to the lowest polymorph of the same formula at 0.021 eV per atom. Its space group is No. 139. The value obtained for the volume is 149 Å³ per cell. The calculation puts the total magnetization at 0.0 μB/cell.